Here is crystalline LiTe2Se at its relaxed geometry from the Alexandria database. Energies are from PBE. Values from VASP.

Quantum ESPRESSO input file:
```
&SYSTEM
  ibrav = 0, nat = 4, ntyp = 3
/
ATOMIC_SPECIES
Li 6.94 Li.upf
Te 127.60 Te.upf
Se 78.96 Se.upf
ATOMIC_POSITIONS crystal
Li 0.0000 0.5000 0.5000
Te 0.0000 0.0000 0.0000
Se 0.5000 0.5000 0.0000
Te 0.5000 0.0000 0.5000
CELL_PARAMETERS angstrom
5.1363 -0.0068 -0.0116
-1.7953 4.8073 0.0139
1.5456 2.4810 4.2131
```

Calculated values
ΔE_f (raw), kJ/mol of formula units: -160
Spin magnetization, μB/f.u.: 0.0